First-principles (PBE) data for a geometry-optimized Ta2V5Ga2Mo structure, as listed in the Alexandria database.

POSCAR file:
```
Ta2V5Ga2Mo
1.0
3.469 0.000 0.000
0.000 9.398 0.000
0.000 0.000 9.398
Ta V Ga Mo
4 10 4 2
Cartesian
0.000 6.269 1.570
0.000 3.129 7.828
0.000 1.570 3.129
0.000 7.828 6.269
1.734 1.808 0.625
1.734 7.590 8.773
1.734 0.625 7.590
1.734 6.507 4.074
1.734 8.773 1.808
1.734 2.891 5.324
1.734 5.324 6.507
1.734 4.074 2.891
1.734 4.699 0.000
1.734 0.000 4.699
0.000 1.228 5.927
0.000 8.170 3.471
0.000 5.927 8.170
0.000 3.471 1.228
0.000 0.000 0.000
0.000 4.699 4.699
```

Values from the calculation:
For the electronic total energy, the calculation gives -8.584 eV/atom. The density of states at the Fermi level is 20.9 states/eV/cell. The total magnetization is 0.00 μB/f.u.

---

First-principles (PBE) data for a geometry-optimized GaHg3I9 structure, as listed in the Alexandria database.

POSCAR file:
```
GaHg3I9
1.0
-8.999 -3.725 -5.136
-5.014 -9.765 4.066
-11.294 5.486 4.006
Ga Hg I
2 6 18
Cartesian
-3.304 -4.358 2.036
-15.185 -8.040 3.945
-16.563 -4.848 1.266
-2.564 -0.288 0.565
-14.469 -4.425 6.882
-7.783 -2.893 2.009
-16.577 -1.012 0.553
-9.151 -6.864 3.029
-7.166 -1.402 -0.102
-13.892 -2.950 4.749
-13.538 1.137 3.737
-13.788 -7.892 1.832
-8.786 2.381 2.019
-5.764 -5.293 1.981
-11.047 -9.180 -1.172
-11.456 -0.424 0.357
-17.439 -11.001 0.487
-18.566 -2.541 1.606
-17.058 -6.098 3.799
-12.637 -5.503 -2.367
-9.930 -5.129 1.135
-15.831 1.354 -0.470
-14.489 -3.152 0.517
-8.642 -9.657 2.092
-8.747 -4.124 -4.045
-17.848 -6.656 -0.550
```

Values from the calculation:
For the electronic total energy, the calculation gives -1.695 eV/atom. The density of states at the Fermi level is 0.0 states/eV/cell. The total magnetization is 0.00 μB/f.u.

---

First-principles (PBE) data for a geometry-optimized LiEr2Ga9 structure, as listed in the Alexandria database.

POSCAR file:
```
LiEr2Ga9
1.0
-1.845 0.311 3.775
-3.521 -1.689 -1.582
4.128 -11.374 2.953
Li Er Ga
1 2 9
Cartesian
0.000 0.000 0.000
1.340 -3.691 0.958
2.788 -7.683 1.995
-2.683 -0.689 1.097
-1.296 -4.512 2.089
0.058 -8.240 3.058
-0.303 -1.551 2.331
1.142 -5.532 3.364
2.586 -9.513 4.398
-1.141 -2.551 -0.348
0.303 -6.531 0.686
1.748 -10.512 1.719
```

Values from the calculation:
For the electronic total energy, the calculation gives -3.591 eV/atom. The density of states at the Fermi level is 4.3 states/eV/cell. The total magnetization is 0.00 μB/f.u.

---

First-principles (PBE) data for a geometry-optimized Ac3Zn11 structure, as listed in the Alexandria database.

POSCAR file:
```
Ac3Zn11
1.0
4.495 0.000 1.260
1.374 7.641 3.745
0.008 -0.006 8.620
Ac Zn
3 11
Cartesian
0.000 0.000 0.000
2.308 5.365 9.063
3.569 2.270 4.562
3.921 5.350 11.956
4.460 3.206 10.033
4.311 7.535 10.563
2.685 2.397 7.718
0.823 1.102 5.713
0.691 3.818 6.183
5.054 6.534 7.912
3.192 5.239 5.907
1.566 0.100 3.061
1.417 4.429 3.591
1.956 2.286 1.668
```

Values from the calculation:
For the electronic total energy, the calculation gives -2.148 eV/atom. The density of states at the Fermi level is 7.8 states/eV/cell. The total magnetization is 0.00 μB/f.u.